Below is an optimized crystal structure of PmZrAs2, with properties calculated at the PBE level.

Structure (POSCAR):
```
PmZrAs2
1.0
2.011 1.161 6.671
-2.011 1.161 6.671
0.000 -2.322 6.671
Pm Zr As
1 1 2
Direct
0.000 0.000 0.000 Pm
0.500 0.500 0.500 Zr
0.243 0.243 0.243 As
0.757 0.757 0.757 As
```

## Properties
* space group: R-3m, No. 166
* magnetization: 0.00 μB/cell

Below is an optimized crystal structure of PrAs5, with properties calculated at the PBE level.

Structure (POSCAR):
```
PrAs5
1.0
5.172 0.000 0.000
0.000 10.364 0.000
-1.311 0.000 5.710
Pr As
2 10
Direct
0.029 0.250 0.356 Pr
0.971 0.750 0.644 Pr
0.253 0.250 0.895 As
0.269 0.534 0.408 As
0.269 0.966 0.408 As
0.371 0.595 0.033 As
0.371 0.905 0.033 As
0.629 0.095 0.967 As
0.629 0.405 0.967 As
0.731 0.034 0.592 As
0.731 0.466 0.592 As
0.747 0.750 0.105 As
```

## Properties
* space group: P2_1/m, No. 11
* magnetization: 0.00 μB/cell

Below is an optimized crystal structure of Pr3As2, with properties calculated at the PBE level.

Structure (POSCAR):
```
Pr3As2
1.0
3.655 2.110 6.968
-3.655 2.110 6.968
0.000 -4.220 6.968
Pr As
6 4
Direct
0.078 0.750 0.422 Pr
0.250 0.578 0.922 Pr
0.422 0.078 0.750 Pr
0.578 0.922 0.250 Pr
0.750 0.422 0.078 Pr
0.922 0.250 0.578 Pr
0.162 0.162 0.162 As
0.338 0.338 0.338 As
0.662 0.662 0.662 As
0.838 0.838 0.838 As
```

## Properties
* space group: R-3c, No. 167
* magnetization: 0.00 μB/cell

Below is an optimized crystal structure of PrAs6, with properties calculated at the PBE level.

Structure (POSCAR):
```
PrAs6
1.0
-3.646 3.646 3.646
3.646 -3.646 3.646
3.646 3.646 -3.646
Pr As
1 6
Direct
0.000 0.000 0.000 Pr
0.250 0.500 0.750 As
0.250 0.750 0.500 As
0.500 0.250 0.750 As
0.500 0.750 0.250 As
0.750 0.250 0.500 As
0.750 0.500 0.250 As
```

## Properties
* space group: Im-3m, No. 229
* magnetization: 0.00 μB/cell

Listing energy of formation from the pure elements for the structures above in their given order: -1.314; -0.439; -1.068; 0.286 eV per atom.
Listing final energy for the structures above in their given order: -27.9; -61.3; -58.0; -30.7 eV for the cell shown.